Entry 1:
Material: HgP2IrC
Method: DFT, PBE-GGA
State: optimized geometry

SG: No. 123
V, Å³ per cell: 77.6
N(E_F), states/eV/cell: 2.2
Formation energy, eV per atom: 1.1140

Cell lengths 4.4237, 3.9650, 4.4237 Å; angles 90.00, 90.00, 90.00 degrees
With the nearest neighbours (Å) after each atom.
Atoms (fractional coordinates):
1 P 0.0000 0.0000 0.5000  2 C 2.21
2 P 0.5000 0.0000 0.0000  2 C 2.21
3 C 0.0000 0.0000 0.0000  2 Ir 1.98, 4 P 2.21
4 Ir 0.0000 0.5000 0.0000  2 C 1.98
5 Hg 0.5000 0.5000 0.5000  8 P 2.97, 4 Ir 3.13



Entry 2:
Material: CaRhSeN2
Method: DFT, PBE-GGA
State: optimized geometry

SG: No. 123
V, Å³ per cell: 110.9
N(E_F), states/eV/cell: 7.5
Energy relative to the elements, uncorrected, eV per atom: 1.72

Cell lengths 4.3506, 4.3506, 5.8596 Å; angles 90.00, 90.00, 90.00 degrees
With the nearest neighbours (Å) after each atom.
Atoms (fractional coordinates):
1 Ca 0.0000 0.0000 0.0000  4 N 2.18
2 Rh 0.5000 0.5000 0.5000  4 Se 3.08
3 Se 0.0000 0.0000 0.5000  2 Ca 2.93, 4 Rh 3.08
4 N 0.0000 0.5000 0.0000  2 Ca 2.18
5 N 0.5000 0.0000 0.0000  2 Ca 2.18



Entry 3:
Material: LuTlRh2
Method: DFT, PBE-GGA
State: optimized geometry

SG: No. 225
V, Å³ per cell: 72.4
N(E_F), states/eV/cell: 1.1
Formation energy, eV per atom: -0.6000

Cell lengths 4.6784, 4.6784, 4.6784 Å; angles 60.00, 60.00, 60.00 degrees
With the nearest neighbours (Å) after each atom.
Atoms (fractional coordinates):
1 Tl 0.5000 0.5000 0.5000  8 Rh 2.86
2 Lu 0.0000 0.0000 0.0000  8 Rh 2.86
3 Rh 0.7500 0.7500 0.7500  4 Lu 2.86, 4 Tl 2.86
4 Rh 0.2500 0.2500 0.2500  4 Tl 2.86, 4 Lu 2.86



Entry 4:
Material: AlPtBr2
Method: DFT, PBE-GGA
State: optimized geometry

SG: No. 160
V, Å³ per cell: 96.5
N(E_F), states/eV/cell: 3.8
Energy relative to the elements, uncorrected, eV per atom: -0.41

Cell lengths 9.3597, 9.3597, 9.3597 Å; angles 21.50, 21.50, 21.50 degrees
With the nearest neighbours (Å) after each atom.
Atoms (fractional coordinates):
1 Br 0.0317 0.0317 0.0317  3 Al 2.68
2 Br 0.2214 0.2214 0.2214  3 Pt 2.79
3 Pt 0.4844 0.4844 0.4844  3 Al 2.52, 3 Br 2.79
4 Al 0.7625 0.7625 0.7625  3 Pt 2.52, 3 Br 2.68



Entry 5:
Material: ErPaZnSi
Method: DFT, PBE-GGA
State: optimized geometry

SG: No. 216
V, Å³ per cell: 85.6
N(E_F), states/eV/cell: 5.9
Energy relative to the elements, uncorrected, eV per atom: -0.22

Cell lengths 4.9473, 4.9473, 4.9473 Å; angles 60.00, 60.00, 60.00 degrees
With the nearest neighbours (Å) after each atom.
Atoms (fractional coordinates):
1 Zn 0.2500 0.2500 0.2500  4 Pa 3.03, 4 Er 3.03
2 Pa 0.0000 0.0000 0.0000  4 Si 3.03, 4 Zn 3.03
3 Si 0.7500 0.7500 0.7500  4 Er 3.03, 4 Pa 3.03
4 Er 0.5000 0.5000 0.5000  4 Si 3.03, 4 Zn 3.03



Entry 6:
Material: NiAsPSe2
Method: DFT, PBE-GGA
State: optimized geometry

SG: No. 123
V, Å³ per cell: 99.7
N(E_F), states/eV/cell: 5.4
Energy relative to the elements, uncorrected, eV per atom: 0.66

Cell lengths 4.7361, 4.7361, 4.4435 Å; angles 90.00, 90.00, 90.00 degrees
With the nearest neighbours (Å) after each atom.
Atoms (fractional coordinates):
1 Ni 0.0000 0.0000 0.0000  2 As 2.22, 4 Se 2.37
2 As 0.0000 0.0000 0.5000  2 Ni 2.22
3 Se 0.0000 0.5000 0.0000  2 Ni 2.37
4 Se 0.5000 0.0000 0.0000  2 Ni 2.37
5 P 0.5000 0.5000 0.5000  8 Se 3.25, 4 As 3.35



Entry 7:
Material: BaMg
Method: DFT, PBE-GGA
State: optimized geometry

SG: No. 87
V, Å³ per cell: 718.5
N(E_F), states/eV/cell: 18.0
Formation energy, eV per atom: 0.1293

Cell lengths 13.0859, 13.0859, 4.1961 Å; angles 90.00, 90.00, 90.00 degrees
With the nearest neighbours (Å) after each atom.
Atoms (fractional coordinates):
1 Ba 0.3770 0.3129 0.0000  4 Mg 3.72-3.88, 2 Ba 4.14
2 Ba 0.6230 0.6871 0.0000  4 Mg 3.72-3.88, 2 Ba 4.14
3 Ba 0.6871 0.3770 0.0000  4 Mg 3.72-3.88, 2 Ba 4.14
4 Ba 0.3129 0.6230 0.0000  4 Mg 3.72-3.88, 2 Ba 4.14
5 Ba 0.8770 0.8129 0.5000  4 Mg 3.72-3.88, 2 Ba 4.14
6 Ba 0.1230 0.1871 0.5000  4 Mg 3.72-3.88, 2 Ba 4.14
7 Ba 0.1871 0.8770 0.5000  4 Mg 3.72-3.88, 2 Ba 4.14
8 Ba 0.8129 0.1230 0.5000  4 Mg 3.72-3.88, 2 Ba 4.14
9 Mg 0.4206 0.8990 0.0000  5 Mg 3.17-3.36
10 Mg 0.5794 0.1010 0.0000  5 Mg 3.17-3.36
11 Mg 0.1010 0.4206 0.0000  5 Mg 3.17-3.36
12 Mg 0.8990 0.5794 0.0000  5 Mg 3.17-3.36
13 Mg 0.9206 0.3990 0.5000  5 Mg 3.17-3.36
14 Mg 0.0794 0.6010 0.5000  5 Mg 3.17-3.36
15 Mg 0.6010 0.9206 0.5000  5 Mg 3.17-3.36
16 Mg 0.3990 0.0794 0.5000  5 Mg 3.17-3.36



Entry 8:
Material: Tm7Cu2Pb2
Method: DFT, PBE-GGA
State: optimized geometry

SG: No. 65
V, Å³ per cell: 310.7
N(E_F), states/eV/cell: 9.3
Formation energy, eV per atom: -0.0755

Cell lengths 6.8377, 6.9331, 6.8377 Å; angles 90.00, 106.59, 90.00 degrees
With the nearest neighbours (Å) after each atom.
Atoms (fractional coordinates):
1 Tm 0.9998 0.2478 0.5003  2 Cu 2.70
2 Tm 0.5003 0.7522 0.9998  2 Cu 2.70
3 Tm 0.0002 0.7522 0.4997  2 Cu 2.70
4 Tm 0.4997 0.2478 0.0002  2 Cu 2.70
5 Tm 0.0000 0.0000 0.0000  2 Cu 3.18
6 Tm 0.5002 0.7686 0.4998  2 Cu 2.81
7 Tm 0.4998 0.2314 0.5002  2 Cu 2.81
8 Cu 0.7102 0.0000 0.2898  6 Tm 2.70-2.81
9 Cu 0.2898 0.0000 0.7102  6 Tm 2.70-2.81
10 Pb 0.8135 0.5000 0.8135  1 Pb 3.05, 6 Tm 3.17-3.30
11 Pb 0.1865 0.5000 0.1865  1 Pb 3.05, 6 Tm 3.17-3.30



Entry 9:
Material: Nd2YPd2
Method: DFT, PBE-GGA
State: optimized geometry

SG: No. 127
V, Å³ per cell: 257.5
N(E_F), states/eV/cell: 9.1
Formation energy, eV per atom: -0.6598

Cell lengths 4.0552, 7.9687, 7.9687 Å; angles 90.00, 90.00, 90.00 degrees
With the nearest neighbours (Å) after each atom.
Atoms (fractional coordinates):
1 Nd 0.5000 0.1685 0.6685  6 Pd 3.05-3.14
2 Nd 0.5000 0.6685 0.8315  6 Pd 3.05-3.14
3 Nd 0.5000 0.8315 0.3315  6 Pd 3.05-3.14
4 Nd 0.5000 0.3315 0.1685  6 Pd 3.05-3.14
5 Y 0.0000 0.0000 0.0000  4 Pd 3.13
6 Y 0.0000 0.5000 0.5000  4 Pd 3.13
7 Pd 0.0000 0.3709 0.8709  1 Pd 2.91, 6 Nd 3.05-3.14, 2 Y 3.13
8 Pd 0.0000 0.8709 0.6291  1 Pd 2.91, 6 Nd 3.05-3.14, 2 Y 3.13
9 Pd 0.0000 0.6291 0.1291  1 Pd 2.91, 6 Nd 3.05-3.14, 2 Y 3.13
10 Pd 0.0000 0.1291 0.3709  1 Pd 2.91, 6 Nd 3.05-3.14, 2 Y 3.13



Entry 10:
Material: BaInSe2
Method: DFT, PBE-GGA
State: optimized geometry

SG: No. 10
V, Å³ per cell: 133.2
N(E_F), states/eV/cell: 1.1
Energy relative to the elements, uncorrected, eV per atom: -1.04

Cell lengths 3.9797, 4.3418, 7.7115 Å; angles 90.28, 90.00, 90.00 degrees
With the nearest neighbours (Å) after each atom.
Atoms (fractional coordinates):
1 Ba 0.5000 0.2500 0.2500  8 Se 3.42
2 In 0.5000 0.7500 0.7500  4 Se 2.91
3 Se 0.0000 0.7486 0.0245  2 In 2.91
4 Se 0.0000 0.7514 0.4755  2 In 2.91



Entry 11:
Material: Dy2Er2TmMg2
Method: DFT, PBE-GGA
State: optimized geometry

SG: No. 166
V, Å³ per cell: 200.3
N(E_F), states/eV/cell: 8.7
Formation energy, eV per atom: -0.0125

Cell lengths 5.3982, 5.3982, 8.5252 Å; angles 71.54, 71.54, 60.00 degrees
With the nearest neighbours (Å) after each atom.
Atoms (fractional coordinates):
1 Dy 0.5736 0.5736 0.2791  4 Mg 3.28-3.32, 3 Er 3.44, 1 Dy 3.51
2 Dy 0.4264 0.4264 0.7209  4 Mg 3.28-3.32, 3 Er 3.44, 1 Dy 3.51
3 Er 0.1539 0.1539 0.5384  3 Er 3.18, 1 Mg 3.21, 3 Dy 3.44
4 Er 0.8461 0.8461 0.4616  3 Er 3.18, 1 Mg 3.21, 3 Dy 3.44
5 Tm 0.0000 0.0000 0.0000  6 Mg 3.29, 2 Er 3.66
6 Mg 0.7112 0.7112 0.8663  1 Er 3.21, 4 Dy 3.28-3.32, 3 Tm 3.29
7 Mg 0.2888 0.2888 0.1337  1 Er 3.21, 4 Dy 3.28-3.32, 3 Tm 3.29